[1]
Below is Ca2HfPd2 after structural relaxation, with properties calculated at the PBE-GGA level.

Results
uncorrected energy: -0.1955 Ha/atom
mass density: 6.7 Mg/m³
density of states at the Fermi level: 0.755 states/eV/atom

Cell and atoms, written as CIF:
```
data_Ca2HfPd2
_chemical_formula_sum 'Ca4 Hf2 Pd4'
_space_group_name_H-M_alt 'P 4/m b m'
_space_group_IT_number 127
_space_group_name_Hall '-P 4 2ab'
_cell_length_a 7.0830
_cell_length_b 7.0830
_cell_length_c 4.6644
_cell_angle_alpha 90.00
_cell_angle_beta 90.00
_cell_angle_gamma 90.00
loop_
_atom_site_label
_atom_site_fract_x
_atom_site_fract_y
_atom_site_fract_z
Ca1 0.1706 0.3293 0.0000
Hf1 0.0000 0.0000 0.5000
Pd1 0.1382 0.6382 0.5000
```

***

[2]
Below is Ca2HfPd4 after structural relaxation, with properties calculated at the PBE-GGA level.

Results
uncorrected energy: -0.1985 Ha/atom
mass density: 7.8 Mg/m³
density of states at the Fermi level: 0.604 states/eV/atom

Cell and atoms, written as CIF:
```
data_Ca2HfPd4
_chemical_formula_sum 'Ca4 Hf2 Pd8'
_space_group_name_H-M_alt 'I 4/m m m'
_space_group_IT_number 139
_space_group_name_Hall '-I 4 2'
_cell_length_a 4.5050
_cell_length_b 4.5050
_cell_length_c 14.4311
_cell_angle_alpha 90.00
_cell_angle_beta 90.00
_cell_angle_gamma 90.00
loop_
_atom_site_label
_atom_site_fract_x
_atom_site_fract_y
_atom_site_fract_z
Ca1 0.0000 0.0000 0.2387
Hf1 0.0000 0.0000 0.5000
Pd1 0.0000 0.5000 0.1052
```

***

[3]
Below is Ca3HfPd4 after structural relaxation, with properties calculated at the PBE-GGA level.

Results
uncorrected energy: -0.1939 Ha/atom
mass density: 7.1 Mg/m³
density of states at the Fermi level: 0.714 states/eV/atom

Cell and atoms, written as CIF:
```
data_Ca3HfPd4
_chemical_formula_sum 'Ca3 Hf1 Pd4'
_space_group_name_H-M_alt 'P 4/m m m'
_space_group_IT_number 123
_space_group_name_Hall '-P 4 2'
_cell_length_a 3.4431
_cell_length_b 3.4431
_cell_length_c 14.3034
_cell_angle_alpha 90.00
_cell_angle_beta 90.00
_cell_angle_gamma 90.00
loop_
_atom_site_label
_atom_site_fract_x
_atom_site_fract_y
_atom_site_fract_z
Ca1 0.0000 0.0000 0.0000
Ca2 0.0000 0.0000 0.2525
Hf1 0.0000 0.0000 0.5000
Pd1 0.5000 0.5000 0.1272
Pd2 0.5000 0.5000 0.3993
```

***

[4]
Below is CaHfPdPt after structural relaxation, with properties calculated at the PBE-GGA level.

Results
uncorrected energy: -0.2401 Ha/atom
mass density: 11.1 Mg/m³
density of states at the Fermi level: 0.749 states/eV/atom

Cell and atoms, written as CIF:
```
data_CaHfPdPt
_chemical_formula_sum 'Ca4 Hf4 Pd4 Pt4'
_space_group_name_H-M_alt 'F -4 3 m'
_space_group_IT_number 216
_space_group_name_Hall 'F -4 2 3'
_cell_length_a 6.7759
_cell_length_b 6.7759
_cell_length_c 6.7759
_cell_angle_alpha 90.00
_cell_angle_beta 90.00
_cell_angle_gamma 90.00
loop_
_atom_site_label
_atom_site_fract_x
_atom_site_fract_y
_atom_site_fract_z
Ca1 0.0000 0.0000 0.0000
Hf1 0.0000 0.0000 0.5000
Pd1 0.2500 0.2500 0.2500
Pt1 0.2500 0.2500 0.7500
```

***

[5]
Below is CaHf2PdRh after structural relaxation, with properties calculated at the PBE-GGA level.

Results
uncorrected energy: -0.1949 Ha/atom
mass density: 9.0 Mg/m³
density of states at the Fermi level: 1.157 states/eV/atom

Cell and atoms, written as CIF:
```
data_CaHf2PdRh
_chemical_formula_sum 'Ca1 Hf2 Pd1 Rh1'
_space_group_name_H-M_alt 'P 4/m m m'
_space_group_IT_number 123
_space_group_name_Hall '-P 4 2'
_cell_length_a 4.9424
_cell_length_b 4.9424
_cell_length_c 4.5656
_cell_angle_alpha 90.00
_cell_angle_beta 90.00
_cell_angle_gamma 90.00
loop_
_atom_site_label
_atom_site_fract_x
_atom_site_fract_y
_atom_site_fract_z
Ca1 0.0000 0.0000 0.0000
Hf1 0.0000 0.5000 0.0000
Pd1 0.5000 0.5000 0.5000
Rh1 0.0000 0.0000 0.5000
```

***

[6]
Below is CaHfPdRh after structural relaxation, with properties calculated at the PBE-GGA level.

Results
uncorrected energy: -0.2465 Ha/atom
mass density: 9.4 Mg/m³
density of states at the Fermi level: 0.380 states/eV/atom

Cell and atoms, written as CIF:
```
data_CaHfPdRh
_chemical_formula_sum 'Ca4 Hf4 Pd4 Rh4'
_space_group_name_H-M_alt 'F -4 3 m'
_space_group_IT_number 216
_space_group_name_Hall 'F -4 2 3'
_cell_length_a 6.7075
_cell_length_b 6.7075
_cell_length_c 6.7075
_cell_angle_alpha 90.00
_cell_angle_beta 90.00
_cell_angle_gamma 90.00
loop_
_atom_site_label
_atom_site_fract_x
_atom_site_fract_y
_atom_site_fract_z
Ca1 0.0000 0.0000 0.0000
Hf1 0.0000 0.0000 0.5000
Pd1 0.2500 0.2500 0.7500
Rh1 0.2500 0.2500 0.2500
```

***

Look up the mass density of the sixth one.
9.4 Mg/m³